[1]
Computed, not measured: a geometry-optimized NbAgF3 structure at the GGA-PBE level of DFT.

Cell and atoms, written as POSCAR:
```
NbAgF3
1.0
3.327 1.921 3.788
-3.327 1.921 3.788
0.000 -3.842 3.788
Nb Ag F
2 2 6
direct
0.250 0.250 0.250 Nb
0.750 0.750 0.750 Nb
0.000 0.000 0.000 Ag
0.500 0.500 0.500 Ag
0.041 0.750 0.459 F
0.250 0.541 0.959 F
0.459 0.041 0.750 F
0.541 0.959 0.250 F
0.750 0.459 0.041 F
0.959 0.250 0.541 F
```

Calculated values
Space group: R-3c, No. 167
Excess energy over the best structure of this formula in the dataset, eV per atom: 0.2851

[2]
Computed, not measured: a geometry-optimized NdMoPb structure at the GGA-PBE level of DFT.

Cell and atoms, written as POSCAR:
```
NdMoPb
1.0
0.000 3.473 3.473
3.473 0.000 3.473
3.473 3.473 0.000
Nd Mo Pb
1 1 1
direct
0.000 0.000 0.000 Nd
0.500 0.500 0.500 Mo
0.750 0.750 0.750 Pb
```

Calculated values
Space group: F-43m, No. 216
Electronic total energy, eV/atom: -5.72

[3]
Computed, not measured: a geometry-optimized Ni7W5 structure at the GGA-PBE level of DFT.

Cell and atoms, written as POSCAR:
```
Ni7W5
1.0
4.958 0.000 0.000
-2.479 4.294 0.000
0.000 0.000 15.479
Ni W
14 10
direct
0.000 0.000 0.092 Ni
0.000 0.000 0.408 Ni
0.000 0.000 0.592 Ni
0.000 0.000 0.908 Ni
0.000 0.500 0.000 Ni
0.000 0.500 0.500 Ni
0.333 0.667 0.117 Ni
0.333 0.667 0.383 Ni
0.500 0.000 0.000 Ni
0.500 0.000 0.500 Ni
0.500 0.500 0.000 Ni
0.500 0.500 0.500 Ni
0.667 0.333 0.617 Ni
0.667 0.333 0.883 Ni
0.165 0.329 0.250 W
0.165 0.835 0.250 W
0.329 0.165 0.750 W
0.333 0.667 0.647 W
0.333 0.667 0.853 W
0.667 0.333 0.147 W
0.667 0.333 0.353 W
0.671 0.835 0.250 W
0.835 0.165 0.750 W
0.835 0.671 0.750 W
```

Calculated values
Space group: P6_3/mmc, No. 194
Excess energy over the best structure of this formula in the dataset, eV per atom: 0.0012
Energy of formation from the pure elements, meV per atom: 330

[4]
Computed, not measured: a geometry-optimized Tl2SiAg structure at the GGA-PBE level of DFT.

Cell and atoms, written as POSCAR:
```
Tl2SiAg
1.0
0.000 3.603 3.603
3.603 0.000 3.603
3.603 3.603 0.000
Tl Si Ag
2 1 1
direct
0.000 0.000 0.000 Tl
0.250 0.250 0.250 Tl
0.500 0.500 0.500 Si
0.750 0.750 0.750 Ag
```

Calculated values
Space group: F-43m, No. 216
Electronic total energy, eV/atom: -2.81

[5]
Computed, not measured: a geometry-optimized Pr2Nd2Br5N structure at the GGA-PBE level of DFT.

Cell and atoms, written as POSCAR:
```
Pr2Nd2Br5N
1.0
9.100 -1.945 0.000
9.100 1.945 0.000
-2.011 0.000 8.129
Pr Nd Br N
2 2 5 1
direct
0.140 0.140 0.075 Pr
0.860 0.860 0.925 Pr
0.499 0.499 0.203 Nd
0.501 0.501 0.797 Nd
0.000 0.000 0.500 Br
0.330 0.330 0.178 Br
0.336 0.336 0.649 Br
0.664 0.664 0.351 Br
0.670 0.670 0.822 Br
0.000 0.000 0.000 N
```

Calculated values
Space group: C2/m, No. 12
Electronic total energy, eV/atom: -5.20

[6]
Computed, not measured: a geometry-optimized ZnSnHgTe3 structure at the GGA-PBE level of DFT.

Cell and atoms, written as POSCAR:
```
ZnSnHgTe3
1.0
2.126 -6.974 0.000
2.126 6.974 0.000
0.000 0.000 12.084
Zn Sn Hg Te
2 2 2 6
direct
0.027 0.973 0.750 Zn
0.973 0.027 0.250 Zn
0.270 0.730 0.250 Sn
0.730 0.270 0.750 Sn
0.500 0.500 0.000 Hg
0.500 0.500 0.500 Hg
0.144 0.856 0.575 Te
0.144 0.856 0.925 Te
0.407 0.593 0.750 Te
0.593 0.407 0.250 Te
0.856 0.144 0.075 Te
0.856 0.144 0.425 Te
```

Calculated values
Space group: Cmcm, No. 63
Excess energy over the best structure of this formula in the dataset, eV per atom: 0.0000

[7]
Computed, not measured: a geometry-optimized Hf2Pd2O5 structure at the GGA-PBE level of DFT.

Cell and atoms, written as POSCAR:
```
Hf2Pd2O5
1.0
3.838 0.000 0.000
0.000 3.838 0.000
0.000 0.000 8.205
Hf Pd O
2 2 5
direct
0.000 0.000 0.242 Hf
0.000 0.000 0.758 Hf
0.500 0.500 0.000 Pd
0.500 0.500 0.500 Pd
0.000 0.000 0.000 O
0.000 0.500 0.324 O
0.000 0.500 0.676 O
0.500 0.000 0.324 O
0.500 0.000 0.676 O
```

Calculated values
Space group: P4/mmm, No. 123
Excess energy over the best structure of this formula in the dataset, eV per atom: 0.0000

[8]
Computed, not measured: a geometry-optimized Sr2TmOsO6 structure at the GGA-PBE level of DFT.

Cell and atoms, written as POSCAR:
```
Sr2TmOsO6
1.0
5.724 0.000 0.000
2.859 4.991 0.000
2.816 1.655 4.748
Sr Tm Os O
2 1 1 6
direct
0.243 0.251 0.260 Sr
0.757 0.749 0.740 Sr
0.000 0.000 0.000 Tm
0.500 0.500 0.500 Os
0.215 0.308 0.705 O
0.230 0.791 0.684 O
0.339 0.730 0.188 O
0.661 0.270 0.812 O
0.770 0.209 0.316 O
0.785 0.692 0.295 O
```

Calculated values
Space group: P-1, No. 2
Electronic total energy, eV/atom: -7.38